1.
ZrAl2Cu | PBEsol | optimized geometry

Cell and atoms, written as extended XYZ:
```
4
Lattice="-0.211 3.292 -2.161 -3.958 -0.558 -0.463 -0.692 2.144 3.334" Properties=species:S:1:pos:R:3 pbc="T T T"
Cu -2.430 2.439 0.355
Al -1.979 -0.279 -0.232
Al -0.346 1.072 1.667
Zr -0.105 1.646 -1.080
```

Values from the calculation:
* volume: 16.0 Å³/atom
* raw total energy: -5.83 eV per atom
* D(E_F): 1.9 states/eV/cell
* size of the total moment: 0.000 μB/cell

***

2.
AlSbSe2Br | PBEsol | optimized geometry

Cell and atoms, written as extended XYZ:
```
5
Lattice="5.262 0.000 0.000 0.000 5.262 0.000 0.000 0.000 5.512" Properties=species:S:1:pos:R:3 pbc="T T T"
Se 0.000 2.631 0.000
Se 2.631 0.000 0.000
Br 0.000 0.000 2.756
Al 2.631 2.631 2.756
Sb 0.000 0.000 0.000
```

Values from the calculation:
* volume: 30.5 Å³/atom
* uncorrected formation energy: 0.2106 eV/atom
* D(E_F): 2.4 states/eV/cell
* size of the total moment: 0.000 μB/cell

***

3.
CaZn2IrSe | PBEsol | optimized geometry

Cell and atoms, written as extended XYZ:
```
5
Lattice="5.076 0.000 0.000 0.000 5.096 0.000 0.000 0.000 5.096" Properties=species:S:1:pos:R:3 pbc="T T T"
Ir 2.538 2.548 2.548
Se 2.538 0.000 0.000
Zn 0.000 2.548 0.000
Zn 0.000 0.000 2.548
Ca 0.000 0.000 0.000
```

Values from the calculation:
* volume: 26.4 Å³/atom
* uncorrected formation energy: 1.4946 eV/atom
* D(E_F): 7.0 states/eV/cell
* size of the total moment: 1.765 μB/cell